# 1
The following is a PBE calculation of a relaxed DyTm2Mg3Ir2Pt crystal, from OQMD via LeMat-Bulk.

Geometry as POSCAR:
```
DyTm2Mg3Ir2Pt
1.0
4.016 0.000 0.000
0.000 6.314 3.639
0.000 -6.314 3.639
Dy Tm Mg Ir Pt
1 2 3 2 1
direct
0.000 0.000 0.000
0.000 0.414 0.825
0.000 0.825 0.414
0.500 0.165 0.414
0.500 0.414 0.165
0.500 0.662 0.662
0.500 0.081 0.745
0.500 0.745 0.081
0.000 0.416 0.416
```

Computed properties:
E   -5.462 eV per atom
Symmetry   Amm2 (38)


# 2
The following is a PBE calculation of a relaxed TbHgSO crystal, from OQMD via LeMat-Bulk.

Geometry as POSCAR:
```
TbHgSO
1.0
7.949 0.000 0.000
0.000 8.725 0.000
0.000 0.000 5.359
Tb Hg S O
4 4 4 4
direct
0.066 0.170 0.000
0.434 0.170 0.500
0.566 0.830 0.000
0.934 0.830 0.500
0.163 0.610 0.916
0.337 0.610 0.416
0.663 0.390 0.916
0.837 0.390 0.416
0.100 0.112 0.502
0.400 0.112 0.002
0.600 0.888 0.502
0.900 0.888 0.002
0.023 0.399 0.049
0.477 0.399 0.549
0.523 0.601 0.049
0.977 0.601 0.549
```

Computed properties:
Symmetry   Pca2_1 (29)
Energy above the lowest structure with this stoichiometry   458 meV/atom


# 3
The following is a PBE calculation of a relaxed Rb2YCuCl6 crystal, from OQMD via LeMat-Bulk.

Geometry as POSCAR:
```
Rb2YCuCl6
1.0
0.000 5.164 5.164
5.164 0.000 5.164
5.164 5.164 0.000
Rb Y Cu Cl
2 1 1 6
direct
0.250 0.250 0.250
0.750 0.750 0.750
0.000 0.000 0.000
0.500 0.500 0.500
0.255 0.255 0.745
0.255 0.745 0.255
0.255 0.745 0.745
0.745 0.255 0.255
0.745 0.255 0.745
0.745 0.745 0.255
```

Computed properties:
E   -4.090 eV per atom
Symmetry   Fm-3m (225)


# 4
The following is a PBE calculation of a relaxed PuSiIr crystal, from OQMD via LeMat-Bulk.

Geometry as POSCAR:
```
PuSiIr
1.0
6.276 0.000 0.000
0.000 6.276 0.000
0.000 0.000 6.276
Pu Si Ir
4 4 4
direct
0.000 0.000 0.000
0.000 0.500 0.500
0.500 0.000 0.500
0.500 0.500 0.000
0.250 0.250 0.250
0.250 0.750 0.750
0.750 0.250 0.750
0.750 0.750 0.250
0.250 0.250 0.750
0.250 0.750 0.250
0.750 0.250 0.250
0.750 0.750 0.750
```

Computed properties:
E   -9.176 eV per atom
Symmetry   F-43m (216)


# 5
The following is a PBE calculation of a relaxed ZrZn2GePd4 crystal, from OQMD via LeMat-Bulk.

Geometry as POSCAR:
```
ZrZn2GePd4
1.0
4.400 0.000 0.000
0.000 4.400 0.000
0.000 0.000 6.600
Zr Zn Ge Pd
1 2 1 4
direct
0.000 0.000 0.000
0.000 0.000 0.500
0.500 0.500 0.000
0.500 0.500 0.500
0.000 0.500 0.267
0.000 0.500 0.733
0.500 0.000 0.267
0.500 0.000 0.733
```

Computed properties:
E   -5.065 eV per atom
Symmetry   P4/mmm (123)


# 6
The following is a PBE calculation of a relaxed ScTa2Pb crystal, from OQMD via LeMat-Bulk.

Geometry as POSCAR:
```
ScTa2Pb
1.0
6.846 0.000 0.000
0.000 6.846 0.000
0.000 0.000 6.846
Sc Ta Pb
4 8 4
direct
0.000 0.000 0.000
0.000 0.500 0.500
0.500 0.000 0.500
0.500 0.500 0.000
0.000 0.000 0.500
0.000 0.500 0.000
0.250 0.250 0.250
0.250 0.750 0.750
0.500 0.000 0.000
0.500 0.500 0.500
0.750 0.250 0.750
0.750 0.750 0.250
0.250 0.250 0.750
0.250 0.750 0.250
0.750 0.250 0.250
0.750 0.750 0.750
```

Computed properties:
E   -8.217 eV per atom
Symmetry   F-43m (216)


# 7
The following is a PBE calculation of a relaxed PrAs2Au2 crystal, from OQMD via LeMat-Bulk.

Geometry as POSCAR:
```
PrAs2Au2
1.0
4.225 0.000 0.000
0.000 4.225 0.000
0.000 0.000 12.009
Pr As Au
2 4 4
direct
0.000 0.000 0.000
0.500 0.500 0.500
0.000 0.000 0.392
0.000 0.000 0.608
0.500 0.500 0.108
0.500 0.500 0.892
0.000 0.500 0.250
0.000 0.500 0.750
0.500 0.000 0.250
0.500 0.000 0.750
```

Computed properties:
E   -4.615 eV per atom
Symmetry   I4/mmm (139)


# 8
The following is a PBE calculation of a relaxed Cu2Ag3 crystal, from OQMD via LeMat-Bulk.

Geometry as POSCAR:
```
Cu2Ag3
1.0
6.910 0.000 0.000
0.000 2.844 0.000
-1.605 0.000 7.907
Cu Ag
4 6
direct
0.042 0.250 0.141
0.221 0.250 0.744
0.779 0.750 0.256
0.958 0.750 0.859
0.151 0.750 0.438
0.330 0.750 0.032
0.471 0.250 0.337
0.529 0.750 0.663
0.670 0.250 0.968
0.849 0.250 0.562
```

Computed properties:
Symmetry   P2_1/m (11)
Energy above the lowest structure with this stoichiometry   49 meV/atom


# 9
The following is a PBE calculation of a relaxed DyTm2In3Pd3 crystal, from OQMD via LeMat-Bulk.

Geometry as POSCAR:
```
DyTm2In3Pd3
1.0
3.786 0.000 0.000
0.000 6.665 3.839
0.000 -6.665 3.839
Dy Tm In Pd
1 2 3 3
direct
0.000 0.000 0.000
0.000 0.408 0.815
0.000 0.815 0.408
0.500 0.146 0.409
0.500 0.409 0.146
0.500 0.669 0.669
0.000 0.409 0.409
0.500 0.075 0.739
0.500 0.739 0.075
```

Computed properties:
E   -4.960 eV per atom
Symmetry   Amm2 (38)


# 10
The following is a PBE calculation of a relaxed Tb2GdSb3 crystal, from OQMD via LeMat-Bulk.

Geometry as POSCAR:
```
Tb2GdSb3
1.0
4.404 0.000 0.000
-2.202 3.814 0.000
0.000 0.000 10.783
Tb Gd Sb
2 1 3
direct
0.333 0.667 0.166
0.667 0.333 0.834
0.000 0.000 0.500
0.000 0.000 0.000
0.333 0.667 0.668
0.667 0.333 0.332
```

Computed properties:
E   -5.534 eV per atom
Symmetry   P-3m1 (164)


# 11
The following is a PBE calculation of a relaxed Tb2Co17 crystal, from OQMD via LeMat-Bulk.

Geometry as POSCAR:
```
Tb2Co17
1.0
4.134 2.387 4.015
-4.134 2.387 4.015
0.000 -4.773 4.015
Tb Co
2 17
direct
0.156 0.156 0.156
0.844 0.844 0.844
0.000 0.500 0.500
0.154 0.154 0.650
0.154 0.650 0.154
0.212 0.500 0.788
0.212 0.788 0.500
0.350 0.846 0.846
0.403 0.403 0.403
0.500 0.000 0.500
0.500 0.212 0.788
0.500 0.500 0.000
0.500 0.788 0.212
0.597 0.597 0.597
0.650 0.154 0.154
0.788 0.212 0.500
0.788 0.500 0.212
0.846 0.350 0.846
0.846 0.846 0.350
```

Computed properties:
Symmetry   R-3m (166)
Energy above the lowest structure with this stoichiometry   0 meV/atom


# 12
The following is a PBE calculation of a relaxed CsCuAg2S2 crystal, from OQMD via LeMat-Bulk.

Geometry as POSCAR:
```
CsCuAg2S2
1.0
9.931 0.000 0.000
0.000 6.012 0.000
-0.225 0.000 6.065
Cs Cu Ag S
2 2 4 4
direct
0.000 0.000 0.000
0.500 0.500 0.000
0.000 0.500 0.500
0.500 0.000 0.500
0.250 0.250 0.500
0.250 0.750 0.500
0.750 0.250 0.500
0.750 0.750 0.500
0.154 0.500 0.761
0.346 0.000 0.239
0.654 0.000 0.761
0.846 0.500 0.239
```

Computed properties:
E   -3.576 eV per atom
Symmetry   C2/m (12)


Calculated volume across the listed records, respectively: 20.5; 23.2; 27.5; 20.6; 16.0; 20.0; 21.4; 15.5; 21.5; 30.2; 12.5; 30.2 A^3/atom.